Run P
# GGA-PBE KCd3Pd, relaxed
# - total magnetic moment (Bohr magnetons per cell) = 0.00
data_KCd3Pd
_chemical_formula_sum 'K4 Cd12 Pd4'
_cell_length_a 7.987
_cell_length_b 5.896
_cell_length_c 11.554
_cell_angle_alpha 90.00
_cell_angle_beta 117.25
_cell_angle_gamma 90.00
_space_group_name_H-M_alt 'P 1 21/c 1'
_space_group_IT_number 14
loop_
_space_group_symop_operation_xyz
'x,y,z'
'-x,-y,-z'
'-x,y+1/2,-z+1/2'
'x,-y+1/2,z+1/2'
loop_
_atom_site_label
_atom_site_fract_x
_atom_site_fract_y
_atom_site_fract_z
K1 0.172 0.139 0.092
Cd1 0.020 0.615 0.213
Cd2 0.359 0.137 0.898
Cd3 0.377 0.621 0.161
Pd1 0.336 0.630 0.892


Run Q
# GGA-PBE KCd3Pd, relaxed
# - total magnetic moment (Bohr magnetons per cell) = 0.00
data_KCd3Pd
_chemical_formula_sum 'K2 Cd6 Pd2'
_cell_length_a 5.964
_cell_length_b 6.274
_cell_length_c 6.831
_cell_angle_alpha 90.00
_cell_angle_beta 80.77
_cell_angle_gamma 89.99
_space_group_name_H-M_alt 'P 1'
_space_group_IT_number 1
loop_
_space_group_symop_operation_xyz
'x,y,z'
loop_
_atom_site_label
_atom_site_fract_x
_atom_site_fract_y
_atom_site_fract_z
K1 0.000 0.000 0.000
K2 0.392 0.001 0.397
Cd1 0.160 0.500 0.190
Cd2 0.336 0.501 0.588
Cd3 0.530 0.254 0.919
Cd4 0.530 0.747 0.919
Cd5 0.853 0.255 0.526
Cd6 0.853 0.746 0.526
Pd1 0.657 0.500 0.239
Pd2 0.942 0.500 0.858


Run R
# GGA-PBE KCd3Pd, relaxed
# - total magnetic moment (Bohr magnetons per cell) = 0.00
data_KCd3Pd
_chemical_formula_sum 'K1 Cd3 Pd1'
_cell_length_a 3.025
_cell_length_b 6.285
_cell_length_c 6.592
_cell_angle_alpha 87.42
_cell_angle_beta 76.97
_cell_angle_gamma 79.00
_space_group_name_H-M_alt 'P 1'
_space_group_IT_number 1
loop_
_space_group_symop_operation_xyz
'x,y,z'
loop_
_atom_site_label
_atom_site_fract_x
_atom_site_fract_y
_atom_site_fract_z
K1 0.000 0.000 0.000
Cd1 0.262 0.768 0.472
Cd2 0.482 0.232 0.482
Cd3 0.688 0.506 0.830
Pd1 0.012 0.495 0.198


Least stable of them? run P.


Run P
# GGA-PBE KCd3Pd, relaxed
# - total magnetic moment (Bohr magnetons per cell) = 0.00
data_KCd3Pd
_chemical_formula_sum 'K1 Cd3 Pd1'
_cell_length_a 4.025
_cell_length_b 4.025
_cell_length_c 8.800
_cell_angle_alpha 90.00
_cell_angle_beta 90.00
_cell_angle_gamma 90.00
_space_group_name_H-M_alt 'P 4 m m'
_space_group_IT_number 99
loop_
_space_group_symop_operation_xyz
'x,y,z'
'-y,x,z'
'-x,-y,z'
'y,-x,z'
'-x,y,z'
'y,x,z'
'x,-y,z'
'-y,-x,z'
loop_
_atom_site_label
_atom_site_fract_x
_atom_site_fract_y
_atom_site_fract_z
K1 0.000 0.000 0.000
Cd1 0.000 0.000 0.632
Cd2 0.000 0.500 0.353
Pd1 0.500 0.500 0.599


Run Q
# GGA-PBE KCd3Pd, relaxed
# - total magnetic moment (Bohr magnetons per cell) = 0.00
data_KCd3Pd
_chemical_formula_sum 'K4 Cd12 Pd4'
_cell_length_a 7.039
_cell_length_b 10.522
_cell_length_c 7.886
_cell_angle_alpha 90.00
_cell_angle_beta 90.00
_cell_angle_gamma 90.00
_space_group_name_H-M_alt 'I m m a'
_space_group_IT_number 74
_space_group_name_Hall '-I 2b 2'
loop_
_atom_site_label
_atom_site_fract_x
_atom_site_fract_y
_atom_site_fract_z
K1 0.000 0.250 0.090
Cd1 0.000 0.250 0.567
Cd2 0.250 0.040 0.750
Pd1 0.000 0.000 0.500


Run R
# GGA-PBE KCd3Pd, relaxed
# - total magnetic moment (Bohr magnetons per cell) = 0.00
data_KCd3Pd
_chemical_formula_sum 'K2 Cd6 Pd2'
_cell_length_a 12.997
_cell_length_b 6.336
_cell_length_c 3.083
_cell_angle_alpha 90.00
_cell_angle_beta 103.69
_cell_angle_gamma 90.00
_space_group_name_H-M_alt 'C 1 m 1'
_space_group_IT_number 8
loop_
_space_group_symop_operation_xyz
'x,y,z'
'x,-y,z'
'x+1/2,y+1/2,z'
'x+1/2,-y+1/2,z'
loop_
_atom_site_label
_atom_site_fract_x
_atom_site_fract_y
_atom_site_fract_z
K1 0.000 0.000 0.000
Cd1 0.235 0.252 0.732
Cd2 0.411 0.000 0.407
Pd1 0.095 0.500 0.092


Least stable of them? run P.


Run P
# GGA-PBE KCd2Pd, relaxed
# - total magnetic moment (Bohr magnetons per cell) = 0.00
data_KCd2Pd
_chemical_formula_sum 'K4 Cd8 Pd4'
_cell_length_a 9.365
_cell_length_b 5.997
_cell_length_c 7.561
_cell_angle_alpha 90.00
_cell_angle_beta 99.54
_cell_angle_gamma 90.00
_space_group_name_H-M_alt 'C 1 2/m 1'
_space_group_IT_number 12
loop_
_space_group_symop_operation_xyz
'x,y,z'
'-x,-y,-z'
'-x,y,-z'
'x,-y,z'
'x+1/2,y+1/2,z'
'-x+1/2,-y+1/2,-z'
'-x+1/2,y+1/2,-z'
'x+1/2,-y+1/2,z'
loop_
_atom_site_label
_atom_site_fract_x
_atom_site_fract_y
_atom_site_fract_z
K1 0.152 0.000 0.381
Cd1 0.006 0.500 0.696
Cd2 0.237 0.000 0.922
Pd1 0.000 0.246 0.000


Run Q
# GGA-PBE KCd2Pd, relaxed
# - total magnetic moment (Bohr magnetons per cell) = 0.00
data_KCd2Pd
_chemical_formula_sum 'K4 Cd8 Pd4'
_cell_length_a 7.541
_cell_length_b 4.906
_cell_length_c 11.169
_cell_angle_alpha 90.00
_cell_angle_beta 90.00
_cell_angle_gamma 90.00
_space_group_name_H-M_alt 'P n m a'
_space_group_IT_number 62
loop_
_space_group_symop_operation_xyz
'x,y,z'
'-x,-y,-z'
'-x+1/2,-y,z+1/2'
'x+1/2,y,-z+1/2'
'x+1/2,-y+1/2,-z+1/2'
'-x+1/2,y+1/2,z+1/2'
'-x,y+1/2,-z'
'x,-y+1/2,z'
loop_
_atom_site_label
_atom_site_fract_x
_atom_site_fract_y
_atom_site_fract_z
K1 0.224 0.250 0.178
Cd1 0.044 0.750 0.383
Cd2 0.177 0.750 0.971
Pd1 0.093 0.250 0.856


Run R
# GGA-PBE KCd2Pd, relaxed
# - total magnetic moment (Bohr magnetons per cell) = 0.00
data_KCd2Pd
_chemical_formula_sum 'K1 Cd2 Pd1'
_cell_length_a 3.420
_cell_length_b 3.420
_cell_length_c 8.654
_cell_angle_alpha 90.00
_cell_angle_beta 90.00
_cell_angle_gamma 90.00
_space_group_name_H-M_alt 'P 4/m m m'
_space_group_IT_number 123
_space_group_name_Hall '-P 4 2'
loop_
_atom_site_label
_atom_site_fract_x
_atom_site_fract_y
_atom_site_fract_z
K1 0.000 0.000 0.000
Cd1 0.500 0.500 0.321
Pd1 0.000 0.000 0.500


Run S
# GGA-PBE KCd2Pd, relaxed
# - total magnetic moment (Bohr magnetons per cell) = 0.00
data_KCd2Pd
_chemical_formula_sum 'K4 Cd8 Pd4'
_cell_length_a 7.244
_cell_length_b 7.244
_cell_length_c 7.244
_cell_angle_alpha 90.00
_cell_angle_beta 90.00
_cell_angle_gamma 90.00
_space_group_name_H-M_alt 'F m -3 m'
_space_group_IT_number 225
_space_group_name_Hall '-F 4 2 3'
loop_
_atom_site_label
_atom_site_fract_x
_atom_site_fract_y
_atom_site_fract_z
K1 0.000 0.000 0.000
Cd1 0.250 0.250 0.250
Pd1 0.000 0.000 0.500


Least stable of them? run S.


Run P
# GGA-PBE KCd2Pd, relaxed
# - total magnetic moment (Bohr magnetons per cell) = 0.00
data_KCd2Pd
_chemical_formula_sum 'K4 Cd8 Pd4'
_cell_length_a 5.590
_cell_length_b 5.590
_cell_length_c 18.271
_cell_angle_alpha 90.00
_cell_angle_beta 90.00
_cell_angle_gamma 90.00
_space_group_name_H-M_alt 'I -4 2 d'
_space_group_IT_number 122
_space_group_name_Hall 'I -4 2bw'
loop_
_atom_site_label
_atom_site_fract_x
_atom_site_fract_y
_atom_site_fract_z
K1 0.000 0.000 0.000
Cd1 0.001 0.250 0.625
Pd1 0.000 0.000 0.500


Run Q
# GGA-PBE KCd2Pd, relaxed
# - total magnetic moment (Bohr magnetons per cell) = 0.00
data_KCd2Pd
_chemical_formula_sum 'K3 Cd6 Pd3'
_cell_length_a 4.7476
_cell_length_b 4.7476
_cell_length_c 18.2316
_cell_angle_alpha 90.00
_cell_angle_beta 90.00
_cell_angle_gamma 120.00
_space_group_name_H-M_alt 'R -3 m'
_space_group_IT_number 166
_space_group_name_Hall '-R 3 2"'
loop_
_atom_site_label
_atom_site_fract_x
_atom_site_fract_y
_atom_site_fract_z
K1 0.0000 0.0000 0.0000
Cd1 0.0000 0.0000 0.1981
Pd1 0.0000 0.0000 0.5000


Least stable of them? run P.


Run P
# GGA-PBE KCd4Pd, relaxed
# - total magnetic moment (Bohr magnetons per cell) = 0.00
data_KCd4Pd
_chemical_formula_sum 'K2 Cd8 Pd2'
_cell_length_a 8.627
_cell_length_b 4.493
_cell_length_c 7.876
_cell_angle_alpha 90.00
_cell_angle_beta 90.00
_cell_angle_gamma 90.00
_space_group_name_H-M_alt 'P m m a'
_space_group_IT_number 51
loop_
_space_group_symop_operation_xyz
'x,y,z'
'-x,-y,-z'
'-x+1/2,-y,z'
'x+1/2,y,-z'
'x+1/2,-y,-z'
'-x+1/2,y,z'
'-x,y,-z'
'x,-y,z'
loop_
_atom_site_label
_atom_site_fract_x
_atom_site_fract_y
_atom_site_fract_z
K1 0.250 0.000 0.115
Cd1 0.000 0.000 0.500
Cd2 0.065 0.500 0.816
Cd3 0.250 0.500 0.468
Pd1 0.250 0.000 0.705


Run Q
# GGA-PBE KCd4Pd, relaxed
# - total magnetic moment (Bohr magnetons per cell) = 0.00
data_KCd4Pd
_chemical_formula_sum 'K4 Cd16 Pd4'
_cell_length_a 4.882
_cell_length_b 15.070
_cell_length_c 9.331
_cell_angle_alpha 90.00
_cell_angle_beta 90.00
_cell_angle_gamma 90.00
_space_group_name_H-M_alt 'C m c m'
_space_group_IT_number 63
_space_group_name_Hall '-C 2c 2'
loop_
_atom_site_label
_atom_site_fract_x
_atom_site_fract_y
_atom_site_fract_z
K1 0.000 0.092 0.250
Cd1 0.000 0.177 0.750
Cd2 0.000 0.301 0.021
Cd3 0.000 0.500 0.000
Pd1 0.000 0.413 0.250


Least stable of them? run Q.


Run P
# GGA-PBE KCd6Pd, relaxed
# - total magnetic moment (Bohr magnetons per cell) = 0.00
data_KCd6Pd
_chemical_formula_sum 'K1 Cd6 Pd1'
_cell_length_a 4.587
_cell_length_b 4.587
_cell_length_c 10.037
_cell_angle_alpha 90.00
_cell_angle_beta 90.00
_cell_angle_gamma 90.00
_space_group_name_H-M_alt 'P 4/m m m'
_space_group_IT_number 123
_space_group_name_Hall '-P 4 2'
loop_
_atom_site_label
_atom_site_fract_x
_atom_site_fract_y
_atom_site_fract_z
K1 0.000 0.000 0.000
Cd1 0.000 0.500 0.342
Cd2 0.500 0.500 0.144
Pd1 0.000 0.000 0.500


Run Q
# GGA-PBE KCd6Pd, relaxed
# - total magnetic moment (Bohr magnetons per cell) = 0.00
data_KCd6Pd
_chemical_formula_sum 'K3 Cd18 Pd3'
_cell_length_a 4.8123
_cell_length_b 4.8123
_cell_length_c 31.3207
_cell_angle_alpha 90.00
_cell_angle_beta 90.00
_cell_angle_gamma 120.00
_space_group_name_H-M_alt 'R -3 m'
_space_group_IT_number 166
_space_group_name_Hall '-R 3 2"'
loop_
_atom_site_label
_atom_site_fract_x
_atom_site_fract_y
_atom_site_fract_z
K1 0.0000 0.0000 0.0000
Cd1 0.0000 0.0000 0.1395
Cd2 0.0000 0.0000 0.2404
Cd3 0.0000 0.0000 0.4092
Pd1 0.0000 0.0000 0.5000


Least stable of them? run Q.


Run P
# GGA-PBE KCd2Pd2, relaxed
# - total magnetic moment (Bohr magnetons per cell) = 0.00
data_KCd2Pd2
_chemical_formula_sum 'K2 Cd4 Pd4'
_cell_length_a 4.582
_cell_length_b 4.582
_cell_length_c 11.548
_cell_angle_alpha 90.00
_cell_angle_beta 90.00
_cell_angle_gamma 90.00
_space_group_name_H-M_alt 'I 4/m m m'
_space_group_IT_number 139
_space_group_name_Hall '-I 4 2'
loop_
_atom_site_label
_atom_site_fract_x
_atom_site_fract_y
_atom_site_fract_z
K1 0.000 0.000 0.000
Cd1 0.000 0.500 0.250
Pd1 0.000 0.000 0.385


Run Q
# GGA-PBE KCd2Pd2, relaxed
# - total magnetic moment (Bohr magnetons per cell) = 0.00
data_KCd2Pd2
_chemical_formula_sum 'K2 Cd4 Pd4'
_cell_length_a 8.314
_cell_length_b 8.314
_cell_length_c 3.040
_cell_angle_alpha 90.00
_cell_angle_beta 90.00
_cell_angle_gamma 90.00
_space_group_name_H-M_alt 'P 4/m b m'
_space_group_IT_number 127
_space_group_name_Hall '-P 4 2ab'
loop_
_atom_site_label
_atom_site_fract_x
_atom_site_fract_y
_atom_site_fract_z
K1 0.000 0.000 0.000
Cd1 0.160 0.340 0.500
Pd1 0.132 0.632 0.000


Least stable of them? run P.


Run P
# GGA-PBE K2Cd3Pt, relaxed
# - total magnetic moment (Bohr magnetons per cell) = 0.00
data_K2Cd3Pt
_chemical_formula_sum 'K4 Cd6 Pt2'
_cell_length_a 6.2651
_cell_length_b 6.2651
_cell_length_c 9.5098
_cell_angle_alpha 90.00
_cell_angle_beta 90.00
_cell_angle_gamma 120.00
_space_group_name_H-M_alt 'P 63/m m c'
_space_group_IT_number 194
_space_group_name_Hall '-P 6c 2c'
loop_
_atom_site_label
_atom_site_fract_x
_atom_site_fract_y
_atom_site_fract_z
K1 0.3333 0.6667 0.0550
Cd1 0.1591 0.3183 0.7500
Pt1 0.0000 0.0000 0.0000


Run Q
# GGA-PBE K2Cd3Pt, relaxed
# - total magnetic moment (Bohr magnetons per cell) = 0.00
data_K2Cd3Pt
_chemical_formula_sum 'K8 Cd12 Pt4'
_cell_length_a 10.021
_cell_length_b 8.388
_cell_length_c 9.024
_cell_angle_alpha 90.00
_cell_angle_beta 96.40
_cell_angle_gamma 90.00
_space_group_name_H-M_alt 'C 1 2/c 1'
_space_group_IT_number 15
loop_
_space_group_symop_operation_xyz
'x,y,z'
'-x,-y,-z'
'-x,y,-z+1/2'
'x,-y,z+1/2'
'x+1/2,y+1/2,z'
'-x+1/2,-y+1/2,-z'
'-x+1/2,y+1/2,-z+1/2'
'x+1/2,-y+1/2,z+1/2'
loop_
_atom_site_label
_atom_site_fract_x
_atom_site_fract_y
_atom_site_fract_z
K1 0.167 0.174 0.155
Cd1 0.000 0.167 0.750
Cd2 0.130 0.377 0.507
Pt1 0.000 0.489 0.750


Least stable of them? run Q.


Run P
# GGA-PBE K2Cd2Pt, relaxed
# - total magnetic moment (Bohr magnetons per cell) = 0.00
data_K2Cd2Pt
_chemical_formula_sum 'K4 Cd4 Pt2'
_cell_length_a 7.250
_cell_length_b 7.250
_cell_length_c 5.773
_cell_angle_alpha 90.00
_cell_angle_beta 90.00
_cell_angle_gamma 90.00
_space_group_name_H-M_alt 'P 4/m b m'
_space_group_IT_number 127
_space_group_name_Hall '-P 4 2ab'
loop_
_atom_site_label
_atom_site_fract_x
_atom_site_fract_y
_atom_site_fract_z
K1 0.182 0.318 0.000
Cd1 0.153 0.653 0.500
Pt1 0.000 0.000 0.500


Run Q
# GGA-PBE K2Cd2Pt, relaxed
# - total magnetic moment (Bohr magnetons per cell) = 0.00
data_K2Cd2Pt
_chemical_formula_sum 'K6 Cd6 Pt3'
_cell_length_a 4.7320
_cell_length_b 4.7320
_cell_length_c 30.7545
_cell_angle_alpha 90.00
_cell_angle_beta 90.00
_cell_angle_gamma 120.00
_space_group_name_H-M_alt 'R -3 m'
_space_group_IT_number 166
_space_group_name_Hall '-R 3 2"'
loop_
_atom_site_label
_atom_site_fract_x
_atom_site_fract_y
_atom_site_fract_z
K1 0.0000 0.0000 0.0731
Cd1 0.0000 0.0000 0.1867
Pt1 0.0000 0.0000 0.5000


Run R
# GGA-PBE K2Cd2Pt, relaxed
# - total magnetic moment (Bohr magnetons per cell) = 0.00
data_K2Cd2Pt
_chemical_formula_sum 'K8 Cd8 Pt4'
_cell_length_a 4.910
_cell_length_b 4.910
_cell_length_c 33.071
_cell_angle_alpha 90.00
_cell_angle_beta 90.00
_cell_angle_gamma 90.00
_space_group_name_H-M_alt 'I 41/a m d'
_space_group_IT_number 141
loop_
_space_group_symop_operation_xyz
'x,y,z'
'-x,-y,-z'
'-y+1/4,x+3/4,z+1/4'
'y+1/4,-x+3/4,-z+1/4'
'-x+1/2,-y,z+1/2'
'x+1/2,y,-z+1/2'
'y+1/4,-x+1/4,z+3/4'
'-y+1/4,x+1/4,-z+3/4'
'x,-y,-z'
'-x,y,z'
'-y+1/4,-x+1/4,-z+3/4'
'y+1/4,x+1/4,z+3/4'
'-x+1/2,y,-z+1/2'
'x+1/2,-y,z+1/2'
'y+1/4,x+3/4,-z+1/4'
'-y+1/4,-x+3/4,z+1/4'
'x+1/2,y+1/2,z+1/2'
'-x+1/2,-y+1/2,-z+1/2'
'-y+3/4,x+1/4,z+3/4'
'y+3/4,-x+1/4,-z+3/4'
'-x,-y+1/2,z'
'x,y+1/2,-z'
'y+3/4,-x+3/4,z+1/4'
'-y+3/4,x+3/4,-z+1/4'
'x+1/2,-y+1/2,-z+1/2'
'-x+1/2,y+1/2,z+1/2'
'-y+3/4,-x+3/4,-z+1/4'
'y+3/4,x+3/4,z+1/4'
'-x,y+1/2,-z'
'x,-y+1/2,z'
'y+3/4,x+1/4,-z+3/4'
'-y+3/4,-x+1/4,z+3/4'
loop_
_atom_site_label
_atom_site_fract_x
_atom_site_fract_y
_atom_site_fract_z
K1 0.000 0.250 0.054
Cd1 0.000 0.250 0.159
Pt1 0.000 0.250 0.375


Least stable of them? run P.